## La2Pm6Sm3In (PBE)

Data for La2Pm6Sm3In after structural relaxation.

The structure in POSCAR format:
```
La2Pm6Sm3In
1.0
6.250 -0.004 -0.006
-3.127 5.411 -0.006
-1.042 -1.804 11.830
La Pm Sm In
2 6 3 1
Direct
0.334 0.666 0.000
0.666 0.334 0.000
0.917 0.593 0.751
0.759 0.759 0.250
0.083 0.407 0.249
0.593 0.917 0.751
0.241 0.241 0.750
0.407 0.083 0.249
0.168 0.832 0.500
0.832 0.168 0.500
0.500 0.500 0.500
0.000 0.000 0.000
```

---

## LaPmSmIn (PBE)

Data for LaPmSmIn after structural relaxation.

The structure in POSCAR format:
```
LaPmSmIn
1.0
5.628 0.000 0.000
2.814 4.874 0.000
2.814 1.625 4.595
La In Sm Pm
1 1 1 1
Direct
0.000 0.000 0.000
0.250 0.250 0.250
0.750 0.750 0.750
0.500 0.500 0.500
```

---

## LaPmSm2In (PBE)

Data for LaPmSm2In after structural relaxation.

The structure in POSCAR format:
```
LaPmSm2In
1.0
-2.611 -4.984 3.608
-0.401 -3.749 -5.469
7.293 -0.861 4.089
La Pm Sm In
2 2 4 2
Direct
0.750 0.748 0.495
0.250 0.252 0.505
0.250 0.844 0.687
0.750 0.156 0.313
0.500 0.258 0.000
0.000 0.742 0.000
0.500 0.742 0.000
0.000 0.258 0.000
0.250 0.648 0.297
0.750 0.352 0.703
```

---

## LaPmInSn (PBE)

Data for LaPmInSn after structural relaxation.

The structure in POSCAR format:
```
LaPmInSn
1.0
-4.734 2.614 1.130
-4.735 -2.837 0.232
-2.506 -0.800 4.858
La In Sn Pm
1 1 1 1
Direct
0.000 0.000 0.000
0.750 0.750 0.750
0.250 0.250 0.250
0.500 0.500 0.500
```

---

## LaPmInSn (PBE)

Data for LaPmInSn after structural relaxation.

The structure in POSCAR format:
```
LaPmInSn
1.0
4.968 0.000 0.000
0.000 4.306 0.000
-2.484 -2.153 5.547
La Pm In Sn
1 1 1 1
Direct
0.380 0.880 0.761
0.117 0.117 0.233
0.840 0.340 0.681
0.642 0.642 0.283
```

---

## La2Tb3Pm6In (PBE)

Data for La2Tb3Pm6In after structural relaxation.

The structure in POSCAR format:
```
La2Tb3Pm6In
1.0
6.221 -0.004 -0.006
-3.112 5.387 -0.006
-1.032 -1.786 11.782
La Tb Pm In
2 3 6 1
Direct
0.334 0.666 0.000
0.666 0.334 0.000
0.167 0.833 0.500
0.833 0.167 0.500
0.500 0.500 0.500
0.917 0.592 0.749
0.759 0.759 0.252
0.083 0.408 0.251
0.592 0.917 0.749
0.241 0.241 0.748
0.408 0.083 0.251
0.000 0.000 0.000
```

---

## La2TbPm2In5 (PBE)

Data for La2TbPm2In5 after structural relaxation.

The structure in POSCAR format:
```
La2TbPm2In5
1.0
4.708 0.000 0.000
0.000 11.183 0.000
0.000 0.000 11.183
La Tb Pm In
4 2 4 10
Direct
0.000 0.676 0.176
0.000 0.324 0.824
0.000 0.176 0.324
0.000 0.824 0.676
0.000 0.000 0.000
0.000 0.500 0.500
0.000 0.129 0.629
0.000 0.871 0.371
0.000 0.629 0.871
0.000 0.371 0.129
0.500 0.191 0.059
0.500 0.809 0.941
0.500 0.059 0.809
0.500 0.691 0.441
0.500 0.941 0.191
0.500 0.309 0.559
0.500 0.559 0.691
0.500 0.441 0.309
0.500 0.500 0.000
0.500 0.000 0.500
```

---

## LaTbPmIn (PBE)

Data for LaTbPmIn after structural relaxation.

The structure in POSCAR format:
```
LaTbPmIn
1.0
-3.913 -0.164 3.930
-3.578 -2.154 -3.652
4.901 -2.456 0.861
La Tb Pm In
1 1 1 1
Direct
0.750 0.250 0.500
0.000 0.000 0.000
0.500 0.500 0.000
0.250 0.750 0.500
```

---

## LaTbPmIn (PBE)

Data for LaTbPmIn after structural relaxation.

The structure in POSCAR format:
```
LaTbPmIn
1.0
-5.020 1.429 2.017
-1.229 -0.948 5.376
-0.467 4.290 3.562
In La Tb Pm
1 1 1 1
Direct
0.000 0.000 0.000
0.250 0.250 0.250
0.750 0.750 0.750
0.500 0.500 0.500
```

---

## La2TbPm5In (PBE)

Data for La2TbPm5In after structural relaxation.

The structure in POSCAR format:
```
La2TbPm5In
1.0
5.573 0.000 0.000
-2.787 10.096 0.000
0.000 0.000 10.870
La Tb Pm In
4 2 10 2
Direct
0.883 0.766 0.804
0.118 0.236 0.713
0.117 0.234 0.304
0.882 0.764 0.213
0.798 0.597 0.509
0.202 0.403 0.009
0.383 0.765 0.008
0.712 0.423 0.812
0.500 0.000 0.758
0.289 0.578 0.705
0.986 0.973 0.508
0.617 0.235 0.508
0.288 0.577 0.312
0.500 0.000 0.258
0.711 0.422 0.205
0.014 0.027 0.008
0.595 0.189 0.007
0.405 0.811 0.507
```

---

## LaTbPm2In4 (PBE)

Data for LaTbPm2In4 after structural relaxation.

The structure in POSCAR format:
```
LaTbPm2In4
1.0
-4.388 -2.908 1.410
0.574 -5.139 1.718
-0.490 0.216 9.452
La Tb Pm In
1 1 2 4
Direct
0.000 0.000 0.000
0.500 0.500 0.500
0.751 0.751 0.748
0.249 0.249 0.252
0.377 0.377 0.869
0.873 0.873 0.380
0.127 0.127 0.620
0.623 0.623 0.131
```

---

## La2TbPmIn2 (PBE)

Data for La2TbPmIn2 after structural relaxation.

The structure in POSCAR format:
```
La2TbPmIn2
1.0
-0.379 -3.786 -3.594
6.868 -0.067 -0.653
0.639 -7.135 7.449
La Tb Pm In
4 2 2 4
Direct
0.500 0.083 0.057
0.000 0.311 0.178
0.500 0.583 0.943
0.000 0.811 0.822
0.500 0.181 0.689
0.500 0.681 0.311
0.000 0.956 0.459
0.000 0.456 0.541
0.000 0.296 0.852
0.500 0.219 0.381
0.000 0.796 0.148
0.500 0.719 0.619
```

---

DFT formation energy: -63 -150 31 -570 -591 -63 -364 -113 -136 -22 -489 -359 (meV/atom)